! PN, relaxed, DFT PBE; values from VASP
! Distance to the lowest polymorph of the same formula in meV per atom: 343
! Space-group type: C2
! Calculated total energy in eV per atom: -6.54
&SYSTEM
  ibrav = 0, nat = 2, ntyp = 2
/
ATOMIC_SPECIES
P 30.97 P.upf
N 14.01 N.upf
CELL_PARAMETERS angstrom
4.2561 0.0000 0.0000
-0.5197 4.2258 0.0000
0.7882 -0.6972 2.4132
ATOMIC_POSITIONS angstrom
P 3.6882 1.2048 0.0022
N 0.4813 1.5972 1.2089